Density functional theory data (PBE) for an optimized crystal structure of Tl2BiSb.

Output
raw total energy	-3.070	eV per atom
calculated density	10.08	g/cm3
space-group type	No. 225
raw formation energy	0.11	eV/atom
offset from the most stable computed form	97	meV per atom

abc: 5.5639 5.5639 5.5639
angles: 60.00 60.00 60.00
Positions (direct):
1 Sb 0.5000 0.5000 0.5000
2 Tl 0.2500 0.2500 0.2500
3 Tl 0.7500 0.7500 0.7500
4 Bi 0.0000 0.0000 0.0000

Density functional theory data (PBE) for an optimized crystal structure of Tl2BiSb.

Output
raw total energy	-3.023	eV per atom
calculated density	7.51	g/cm3
space-group type	No. 122
raw formation energy	0.16	eV/atom
offset from the most stable computed form	144	meV per atom

abc: 6.8979 6.8979 8.4249
angles: 65.83 65.83 90.00
Positions (direct):
1 Sb 0.5000 0.5000 0.0000
2 Sb 0.2500 0.7500 0.5000
3 Tl 0.6157 0.1250 0.2500
4 Tl 0.1343 0.6250 0.2500
5 Tl 0.3750 0.3843 0.7500
6 Tl 0.8750 0.8657 0.7500
7 Bi 0.0000 0.0000 0.0000
8 Bi 0.7500 0.2500 0.5000